Material: HoNiTe2
Method: DFT, GGA-PBE
State: optimized geometry

```
HoNiTe2
1.0
4.085 0.000 0.000
-2.043 3.538 0.000
0.000 0.000 6.581
Te Ho Ni
2 1 1
direct
0.667 0.333 0.791 Te
0.333 0.667 0.209 Te
0.000 0.000 0.500 Ho
0.000 0.000 0.000 Ni
```

Values from the calculation:
Electronic total energy ... -4.862 eV/atom
Volume ... 23.778 Å³ per atom



Material: ZrNbNiPb
Method: DFT, GGA-PBE
State: optimized geometry

```
ZrNbNiPb
1.0
1.052 2.872 3.650
-3.390 2.724 1.941
-1.645 -0.989 4.359
Ni Zr Pb Nb
1 1 1 1
direct
0.750 0.750 0.750 Ni
0.500 0.500 0.500 Zr
0.000 0.000 0.000 Pb
0.250 0.250 0.250 Nb
```

Values from the calculation:
Electronic total energy ... -6.655 eV/atom
Volume ... 19.094 Å³ per atom



Material: Gd2Pa2O5
Method: DFT, GGA-PBE
State: optimized geometry

```
Gd2Pa2O5
1.0
7.678 0.000 0.000
0.000 4.421 0.000
0.000 0.000 4.421
O Pa Gd
5 2 2
direct
0.245 0.500 0.000 O
0.500 0.500 0.500 O
0.755 0.500 0.000 O
0.755 0.000 0.500 O
0.245 0.000 0.500 O
0.500 0.000 0.000 Pa
0.000 0.000 0.000 Pa
0.225 0.500 0.500 Gd
0.775 0.500 0.500 Gd
```

Values from the calculation:
Electronic total energy ... -7.861 eV/atom
E above lowest polymorph ... 173 meV/atom
Volume ... 16.676 Å³ per atom



Material: SrPrZnSe3
Method: DFT, GGA-PBE
State: optimized geometry

```
SrPrZnSe3
1.0
5.998 4.048 -1.031
-7.211 -0.637 -1.007
-1.830 5.209 9.805
Se Sr Zn Pr
6 2 2 2
direct
0.576 0.424 0.250 Se
0.424 0.576 0.750 Se
0.147 0.853 0.920 Se
0.147 0.853 0.580 Se
0.853 0.147 0.080 Se
0.853 0.147 0.420 Se
0.254 0.746 0.250 Sr
0.746 0.254 0.750 Sr
0.969 0.031 0.250 Zn
0.031 0.969 0.750 Zn
0.500 0.500 0.500 Pr
0.500 0.500 0.000 Pr
```

Values from the calculation:
Electronic total energy ... -4.433 eV/atom
Volume ... 27.295 Å³ per atom



Material: HoScZn2In2
Method: DFT, GGA-PBE
State: optimized geometry

```
HoScZn2In2
1.0
4.590 0.000 0.000
-2.295 3.975 0.000
0.000 0.000 7.065
Ho Sc Zn In
1 1 2 2
direct
0.000 0.000 0.521 Ho
0.000 0.000 0.022 Sc
0.667 0.333 0.211 Zn
0.333 0.667 0.721 Zn
0.667 0.333 0.806 In
0.333 0.667 0.288 In
```

Values from the calculation:
Electronic total energy ... -3.571 eV/atom
Volume ... 21.484 Å³ per atom



Material: ZnSn2Pd
Method: DFT, GGA-PBE
State: optimized geometry

```
ZnSn2Pd
1.0
0.000 3.467 3.467
3.467 0.000 3.467
3.467 3.467 0.000
Sn Zn Pd
2 1 1
direct
0.000 0.000 0.000 Sn
0.250 0.250 0.250 Sn
0.500 0.500 0.500 Zn
0.750 0.750 0.750 Pd
```

Values from the calculation:
Electronic total energy ... -3.591 eV/atom
Volume ... 20.829 Å³ per atom



Material: Hf3FeAs
Method: DFT, GGA-PBE
State: optimized geometry

```
Hf3FeAs
1.0
-4.232 -0.494 4.906
1.704 -1.479 -6.094
4.394 -7.461 3.040
Fe Hf As
2 6 2
direct
0.746 0.254 0.750 Fe
0.254 0.746 0.250 Fe
0.101 0.899 0.750 Hf
0.343 0.657 0.573 Hf
0.899 0.101 0.250 Hf
0.343 0.657 0.927 Hf
0.657 0.343 0.073 Hf
0.657 0.343 0.427 Hf
0.000 0.000 0.000 As
0.000 0.000 0.500 As
```

Values from the calculation:
Electronic total energy ... -8.952 eV/atom
Volume ... 19.672 Å³ per atom



Material: ZrInBi
Method: DFT, GGA-PBE
State: optimized geometry

```
ZrInBi
1.0
-4.352 -1.007 -2.371
-3.508 3.610 -0.487
-0.933 2.023 -4.540
Zr In Bi
1 1 1
direct
0.750 0.750 0.750 Zr
0.000 0.000 0.000 In
0.250 0.250 0.250 Bi
```

Values from the calculation:
Electronic total energy ... -4.655 eV/atom
Volume ... 30.483 Å³ per atom